Entry 1:
Compound: Gd2DyScIn2
Source: OQMD
Functional: GGA-PBE
Structure: optimized geometry

```
6
Lattice="5.3099 0.0000 0.0000 -2.6549 4.5985 0.0000 0.0000 0.0000 6.6968" Properties=species:S:1:pos:R:3 pbc="T T T"
Dy 0.0000 0.0000 0.0000
Gd 0.0000 3.0657 4.9649
Gd 0.0000 3.0657 1.7319
Sc 2.6549 1.5328 3.3484
In 2.6549 1.5328 0.0000
In 0.0000 0.0000 3.3484
```

Properties
raw total energy = -4.641 eV/atom

***

Entry 2:
Compound: SmGdDyTmIn2
Source: OQMD
Functional: GGA-PBE
Structure: optimized geometry

```
6
Lattice="5.4016 0.0000 0.0000 -2.7008 4.6779 0.0000 0.0000 0.0000 6.7610" Properties=species:S:1:pos:R:3 pbc="T T T"
Gd 0.0000 0.0000 0.0438
Dy 0.0000 0.0000 3.3381
In 0.0000 3.1186 1.6964
In 2.7008 1.5593 5.0615
Sm 0.0000 3.1186 5.0542
Tm 2.7008 1.5593 1.7085
```

Properties
raw total energy = -4.333 eV/atom

***

Entry 3:
Compound: Gd2DyTmIn2
Source: OQMD
Functional: GGA-PBE
Structure: optimized geometry

```
6
Lattice="-4.7090 1.2911 2.2874 1.9236 -5.0182 0.4374 3.2174 1.7258 5.6496" Properties=species:S:1:pos:R:3 pbc="T T T"
In 1.3215 -2.0522 3.8789
In 0.0000 0.0000 0.0000
Gd -1.6955 -0.3814 3.0801
Gd -0.0833 0.4833 5.9109
Tm -0.2872 -2.9151 1.0541
Dy 1.6087 0.8629 2.8248
```

Properties
raw total energy = -4.327 eV/atom

***

Entry 4:
Compound: GdDyZn2In2
Source: OQMD
Functional: GGA-PBE
Structure: optimized geometry

```
6
Lattice="-1.4817 -4.2762 1.1105 4.0156 0.5505 -2.2992 3.5953 0.4105 6.3776" Properties=species:S:1:pos:R:3 pbc="T T T"
Zn 1.1353 -2.5777 1.3657
Zn 4.7573 -0.7645 3.4036
Gd 0.0764 0.0087 0.1355
Dy 1.8751 0.2141 3.3263
In 3.2093 -2.3409 5.0447
In 3.2545 -0.9361 0.7377
```

Properties
raw total energy = -3.350 eV/atom

***

Entry 5:
Compound: Gd2DyMg3Ir3
Source: OQMD
Functional: GGA-PBE
Structure: optimized geometry

```
9
Lattice="4.0638 0.0000 0.0000 0.0000 6.3074 3.6448 0.0000 -6.3074 3.6448" Properties=species:S:1:pos:R:3 pbc="T T T"
Mg 2.0319 -1.5372 6.3964
Mg 2.0319 0.0000 1.7824
Mg 2.0319 1.5372 6.3964
Ir 2.0319 2.0884 3.6474
Ir 0.0000 0.0000 7.2790
Ir 2.0319 -2.0884 3.6474
Gd 0.0000 2.5848 1.4936
Gd 0.0000 -2.5848 1.4936
Dy 0.0000 0.0000 4.3112
```

Properties
raw total energy = -5.686 eV/atom

***

Entry 6:
Compound: GdDy2Mg3Ir3
Source: OQMD
Functional: GGA-PBE
Structure: optimized geometry

```
9
Lattice="4.0591 0.0000 0.0000 0.0000 6.2964 3.6328 0.0000 -6.2964 3.6328" Properties=species:S:1:pos:R:3 pbc="T T T"
Mg 2.0296 -4.7547 2.7481
Mg 2.0296 0.0000 1.7719
Mg 2.0296 4.7547 2.7481
Dy 0.0000 -2.5759 1.4862
Dy 0.0000 2.5759 1.4862
Ir 2.0296 -2.1102 3.6304
Ir 2.0296 2.1102 3.6304
Ir 0.0000 0.0000 0.0089
Gd 0.0000 0.0000 4.2872
```

Properties
raw total energy = -5.687 eV/atom

***

Entry 7:
Compound: Gd2DyMg3Ir2Pt
Source: OQMD
Functional: GGA-PBE
Structure: optimized geometry

```
9
Lattice="-0.6515 -2.5261 3.0901 5.2683 -4.4553 -2.5314 1.6864 5.3599 4.7372" Properties=species:S:1:pos:R:3 pbc="T T T"
Ir 3.7477 -2.4354 1.4454
Ir 2.5616 0.8147 3.8523
Pt 6.9433 0.9031 2.2021
Mg 1.3978 -1.0389 2.0917
Mg 6.2075 -1.6799 2.5817
Mg 5.3249 0.7385 4.3726
Dy 4.0867 0.5315 1.2961
Gd 2.1781 -1.8420 -1.0466
Gd 0.6972 2.2159 1.9585
```

Properties
raw total energy = -5.479 eV/atom

***

Entry 8:
Compound: GdDy2NiSn3Ir2
Source: OQMD
Functional: GGA-PBE
Structure: optimized geometry

```
9
Lattice="-3.6215 0.6174 -1.1112 -0.7039 -7.2920 -1.7576 -1.7171 2.4022 6.9310" Properties=species:S:1:pos:R:3 pbc="T T T"
Ir -3.1925 -0.5115 3.4921
Ir -2.8524 -3.7658 0.5753
Ni -2.4188 -4.8855 5.1688
Sn -2.9507 -6.3635 -0.5478
Sn -3.7049 0.8529 5.9201
Sn -3.6174 -3.3402 3.3050
Gd -0.9865 -1.9924 2.1080
Dy -0.4173 -4.3233 -1.0421
Dy -1.0180 1.4242 4.1093
```

Properties
raw total energy = -6.253 eV/atom

***

Entry 9:
Compound: Gd2DyNiSn3Ir2
Source: OQMD
Functional: GGA-PBE
Structure: optimized geometry

```
9
Lattice="3.8410 0.0000 0.0000 0.0000 6.5230 3.7693 0.0000 -6.5230 3.7693" Properties=species:S:1:pos:R:3 pbc="T T T"
Dy 0.0000 0.0000 4.4793
Gd 0.0000 2.6479 1.5301
Gd 0.0000 -2.6479 1.5301
Ir 1.9205 2.1699 3.7705
Ir 1.9205 -2.1699 3.7705
Ni 0.0000 0.0000 7.5368
Sn 1.9205 -1.6619 6.5751
Sn 1.9205 0.0000 1.9255
Sn 1.9205 1.6619 6.5751
```

Properties
raw total energy = -6.255 eV/atom

***

Entry 10:
Compound: GdDy2Sn3IrPd2
Source: OQMD
Functional: GGA-PBE
Structure: optimized geometry

```
9
Lattice="3.9066 0.0000 0.0000 0.0000 6.5997 3.8076 0.0000 -6.5997 3.8076" Properties=species:S:1:pos:R:3 pbc="T T T"
Dy 0.0000 -3.9599 2.2854
Dy 0.0000 3.9599 2.2854
Sn 1.9533 -4.8880 4.7913
Sn 1.9533 4.8880 4.7913
Sn 1.9533 0.0000 5.6417
Ir 0.0000 0.0000 7.6050
Gd 0.0000 0.0000 3.0529
Pd 1.9533 2.2141 3.8113
Pd 1.9533 -2.2141 3.8113
```

Properties
raw total energy = -5.927 eV/atom

***

Entry 11:
Compound: GdDy2Sn3Ir2Pd
Source: OQMD
Functional: GGA-PBE
Structure: optimized geometry

```
9
Lattice="3.9451 0.0000 0.0000 0.0000 6.5393 3.7697 0.0000 -6.5393 3.7697" Properties=species:S:1:pos:R:3 pbc="T T T"
Sn 1.9725 -4.8190 4.7595
Sn 1.9725 4.8190 4.7595
Sn 1.9725 0.0000 5.5590
Dy 0.0000 -3.8527 2.2233
Dy 0.0000 3.8527 2.2233
Ir 1.9725 -2.1919 3.7728
Ir 1.9725 2.1919 3.7728
Gd 0.0000 0.0000 3.0971
Pd 0.0000 0.0000 7.5295
```

Properties
raw total energy = -6.281 eV/atom

***

Entry 12:
Compound: Gd2DySn3Ir2Pd
Source: OQMD
Functional: GGA-PBE
Structure: optimized geometry

```
9
Lattice="-2.9401 1.7022 2.0650 4.4090 0.2072 6.1068 -0.0264 5.7956 -4.8152" Properties=species:S:1:pos:R:3 pbc="T T T"
Pd 0.0062 0.0085 0.0018
Sn -0.3155 0.9066 2.6305
Sn -1.4760 2.3688 -0.2271
Sn 1.7649 5.2819 1.9859
Gd 2.5681 5.9158 -1.2202
Gd 4.3922 3.6175 3.2715
Ir 1.4538 2.9242 3.4865
Ir -0.0154 4.7752 -0.1312
Dy 1.8026 2.4689 0.5312
```

Properties
raw total energy = -6.284 eV/atom